1.
This record from Alexandria describes a relaxed structure of KMnN2. The functional is GGA-PBE.

Symmetry = Fm-3m, No. 225
Polymorph energy (0 for the lowest one) = 6.80 eV/f.u.
Calculated density = 4.04 g cm⁻³
Formation energy without anion corrections = 1.411 eV per atom
E_tot = -21.27 eV for the cell shown
Fermi-level density of states = 0.76 states/eV per cell

Cell and atoms, written as POSCAR:
```
KMnN2
1.0
0.000 2.926 2.926
2.926 0.000 2.926
2.926 2.926 0.000
N Mn K
2 1 1
Direct
0.750 0.750 0.750
0.250 0.250 0.250
0.500 0.500 0.500
0.000 0.000 0.000
```


2.
This record from Alexandria describes a relaxed structure of KMnN. The functional is GGA-PBE.

Symmetry = C2/m, No. 12
Polymorph energy (0 for the lowest one) = 0.32 eV/f.u.
Calculated density = 3.12 g cm⁻³
Formation energy without anion corrections = 0.037 eV per atom
E_tot = -36.96 eV for the cell shown
Fermi-level density of states = 4.12 states/eV per cell

Cell and atoms, written as POSCAR:
```
KMnN
1.0
-1.909 -1.001 2.101
3.172 0.666 5.355
-0.493 6.086 4.607
Mn K N
2 2 2
Direct
0.066 0.011 0.857
0.934 0.989 0.143
0.154 0.368 0.324
0.846 0.632 0.676
0.591 0.106 0.712
0.409 0.894 0.288
```


3.
This record from Alexandria describes a relaxed structure of K2MnN. The functional is GGA-PBE.

Symmetry = I-42d, No. 122
Calculated density = 1.89 g cm⁻³
Formation energy without anion corrections = 0.108 eV per atom
E_tot = -38.51 eV for the cell shown
Fermi-level density of states = 5.55 states/eV per cell

Cell and atoms, written as POSCAR:
```
K2MnN
1.0
-5.226 10.580 1.275
-10.439 -5.368 1.756
-7.502 2.552 3.316
Mn N K
2 2 4
Direct
0.750 0.250 0.500
0.000 0.000 0.000
0.500 0.500 0.000
0.250 0.750 0.500
0.375 0.582 0.750
0.418 0.125 0.250
0.875 0.668 0.750
0.332 0.625 0.250
```


4.
This record from Alexandria describes a relaxed structure of KMnN2. The functional is GGA-PBE.

Symmetry = I4_1/amd, No. 141
Polymorph energy (0 for the lowest one) = 0.00 eV/f.u.
Calculated density = 3.15 g cm⁻³
Formation energy without anion corrections = -0.290 eV per atom
E_tot = -56.15 eV for the cell shown
Fermi-level density of states = 6.09 states/eV per cell

Cell and atoms, written as POSCAR:
```
KMnN2
1.0
1.374 -4.948 -2.370
4.469 -0.408 3.442
-5.184 0.752 2.174
N K Mn
4 2 2
Direct
0.375 0.625 0.250
0.375 0.625 0.750
0.875 0.625 0.250
0.375 0.125 0.750
0.000 0.000 0.000
0.750 0.250 0.500
0.500 0.500 0.000
0.250 0.750 0.500
```


5.
This record from Alexandria describes a relaxed structure of K3Mn5N12. The functional is GGA-PBE.

Symmetry = Ia-3d, No. 230
Calculated density = 3.66 g cm⁻³
Formation energy without anion corrections = 0.363 eV per atom
E_tot = -567.15 eV for the cell shown
Fermi-level density of states = 46.68 states/eV per cell

Cell and atoms, written as POSCAR:
```
K3Mn5N12
1.0
10.975 0.000 0.000
-3.658 10.347 0.000
-3.658 -5.174 8.961
N K Mn
48 12 20
Direct
0.189 0.120 0.025
0.311 0.475 0.380
0.525 0.689 0.120
0.070 0.189 0.165
0.120 0.189 0.525
0.880 0.811 0.475
0.811 0.880 0.975
0.165 0.475 0.595
0.811 0.930 0.335
0.905 0.570 0.880
0.475 0.311 0.880
0.835 0.525 0.405
0.380 0.975 0.311
0.405 0.380 0.070
0.335 0.430 0.811
0.665 0.570 0.189
0.975 0.595 0.665
0.689 0.525 0.620
0.430 0.095 0.620
0.930 0.120 0.595
0.189 0.070 0.665
0.620 0.025 0.689
0.570 0.665 0.689
0.095 0.665 0.475
0.475 0.165 0.095
0.095 0.430 0.120
0.595 0.975 0.165
0.930 0.811 0.835
0.405 0.025 0.835
0.620 0.595 0.430
0.165 0.689 0.070
0.335 0.905 0.025
0.525 0.835 0.905
0.311 0.835 0.430
0.380 0.405 0.570
0.120 0.930 0.095
0.570 0.905 0.380
0.025 0.405 0.335
0.905 0.335 0.525
0.430 0.335 0.311
0.975 0.380 0.811
0.070 0.880 0.405
0.665 0.095 0.975
0.689 0.165 0.570
0.025 0.620 0.189
0.880 0.070 0.905
0.835 0.311 0.930
0.595 0.620 0.930
0.250 0.125 0.375
0.875 0.750 0.125
0.250 0.625 0.875
0.125 0.875 0.750
0.625 0.375 0.750
0.875 0.125 0.250
0.375 0.625 0.250
0.750 0.375 0.125
0.625 0.250 0.375
0.125 0.250 0.875
0.750 0.875 0.625
0.375 0.750 0.625
0.625 0.875 0.250
0.375 0.125 0.750
0.500 0.500 0.000
0.500 0.000 0.000
0.875 0.625 0.750
0.750 0.125 0.875
0.000 0.500 0.500
0.500 0.000 0.500
0.875 0.250 0.625
0.250 0.875 0.125
0.500 0.500 0.500
0.125 0.750 0.375
0.000 0.500 0.000
0.000 0.000 0.000
0.250 0.375 0.625
0.000 0.000 0.500
0.625 0.750 0.875
0.375 0.250 0.125
0.125 0.375 0.250
0.750 0.625 0.375
```


6.
This record from Alexandria describes a relaxed structure of K3MnN2. The functional is GGA-PBE.

Symmetry = Cmcm, No. 63
Calculated density = 2.68 g cm⁻³
Formation energy without anion corrections = -0.006 eV per atom
E_tot = -58.30 eV for the cell shown
Fermi-level density of states = 4.40 states/eV per cell

Cell and atoms, written as POSCAR:
```
K3MnN2
1.0
6.384 -0.599 0.000
-0.994 6.334 0.000
0.000 0.000 6.231
K N Mn
6 4 2
Direct
0.279 0.721 0.500
0.279 0.721 0.000
0.721 0.721 0.750
0.721 0.279 0.000
0.279 0.279 0.250
0.721 0.279 0.500
0.000 0.000 0.000
0.000 0.000 0.500
0.334 0.334 0.750
0.666 0.666 0.250
0.119 0.119 0.750
0.881 0.881 0.250
```


7.
This record from Alexandria describes a relaxed structure of K2MnN2. The functional is GGA-PBE.

Symmetry = Cmc2_1, No. 36
Polymorph energy (0 for the lowest one) = 0.57 eV/f.u.
Calculated density = 2.84 g cm⁻³
Formation energy without anion corrections = -0.110 eV per atom
E_tot = -57.14 eV for the cell shown
Fermi-level density of states = 1.51 states/eV per cell

Cell and atoms, written as POSCAR:
```
K2MnN2
1.0
-1.866 1.652 2.168
-4.829 -3.169 -1.741
2.830 -7.344 5.516
N K Mn
4 4 2
Direct
0.411 0.167 0.822
0.589 0.667 0.178
0.153 0.005 0.307
0.847 0.505 0.693
0.198 0.472 0.396
0.028 0.320 0.056
0.802 0.972 0.604
0.972 0.820 0.944
0.370 0.402 0.740
0.630 0.902 0.260
```


8.
This record from Alexandria describes a relaxed structure of KMnN. The functional is GGA-PBE.

Symmetry = Pnma, No. 62
Polymorph energy (0 for the lowest one) = 0.00 eV/f.u.
Calculated density = 2.92 g cm⁻³
Formation energy without anion corrections = -0.071 eV per atom
E_tot = -75.22 eV for the cell shown
Fermi-level density of states = 5.38 states/eV per cell

Cell and atoms, written as POSCAR:
```
KMnN
1.0
-7.029 -3.721 6.380
-1.718 -1.523 -2.781
3.642 -5.537 0.783
N K Mn
4 4 4
Direct
0.045 0.750 0.156
0.455 0.250 0.656
0.545 0.750 0.344
0.955 0.250 0.844
0.174 0.250 0.558
0.326 0.750 0.058
0.674 0.250 0.942
0.826 0.750 0.442
0.530 0.250 0.396
0.970 0.750 0.896
0.470 0.750 0.604
0.030 0.250 0.104
```


9.
This record from Alexandria describes a relaxed structure of KMnN3. The functional is GGA-PBE.

Symmetry = Pm-3m, No. 221
Calculated density = 4.19 g cm⁻³
Formation energy without anion corrections = 0.827 eV per atom
E_tot = -31.11 eV for the cell shown
Fermi-level density of states = 3.70 states/eV per cell

Cell and atoms, written as POSCAR:
```
KMnN3
1.0
3.777 0.000 0.000
0.000 3.777 0.000
0.000 0.000 3.777
Mn N K
1 3 1
Direct
0.000 0.000 0.000
0.000 0.500 0.000
0.000 0.000 0.500
0.500 0.000 0.000
0.500 0.500 0.500
```


10.
This record from Alexandria describes a relaxed structure of KMnN2. The functional is GGA-PBE.

Symmetry = R-3m, No. 166
Polymorph energy (0 for the lowest one) = 2.84 eV/f.u.
Calculated density = 3.70 g cm⁻³
Formation energy without anion corrections = 0.420 eV per atom
E_tot = -25.24 eV for the cell shown
Fermi-level density of states = 2.12 states/eV per cell

Cell and atoms, written as POSCAR:
```
KMnN2
1.0
1.759 0.000 6.822
-0.880 1.523 6.822
-0.880 -1.523 6.822
Mn N K
1 2 1
Direct
0.500 0.500 0.500
0.880 0.880 0.880
0.120 0.120 0.120
0.000 0.000 0.000
```


11.
This record from Alexandria describes a relaxed structure of K3Mn2N4. The functional is GGA-PBE.

Symmetry = Imma, No. 74
Calculated density = 2.67 g cm⁻³
Formation energy without anion corrections = -0.286 eV per atom
E_tot = -115.01 eV for the cell shown
Fermi-level density of states = 6.19 states/eV per cell

Cell and atoms, written as POSCAR:
```
K3Mn2N4
1.0
5.480 0.000 -1.787
-1.062 7.116 -3.256
-0.046 -0.200 9.154
Mn K N
4 6 8
Direct
0.466 0.331 0.932
0.034 0.900 0.068
0.966 0.100 0.932
0.534 0.669 0.068
0.398 0.833 0.796
0.898 0.463 0.796
0.250 0.196 0.500
0.602 0.167 0.204
0.102 0.537 0.204
0.750 0.804 0.500
0.922 0.843 0.844
0.690 0.190 0.879
0.078 0.157 0.156
0.310 0.810 0.121
0.422 0.500 0.844
0.810 0.810 0.121
0.190 0.190 0.879
0.578 0.500 0.156
```


12.
This record from Alexandria describes a relaxed structure of KMn3N. The functional is GGA-PBE.

Symmetry = Pm-3m, No. 221
Polymorph energy (0 for the lowest one) = 0.00 eV/f.u.
Calculated density = 4.57 g cm⁻³
Formation energy without anion corrections = 0.721 eV per atom
E_tot = -33.33 eV for the cell shown
Fermi-level density of states = 4.02 states/eV per cell

Cell and atoms, written as POSCAR:
```
KMn3N
1.0
4.294 0.000 0.000
0.000 4.294 0.000
0.000 0.000 4.294
Mn K N
3 1 1
Direct
0.000 0.500 0.000
0.500 0.000 0.000
0.000 0.000 0.500
0.500 0.500 0.500
0.000 0.000 0.000
```